1.
Th2ZrAl3: relaxed, GGA-PBE.

Computed properties:
E above lowest polymorph, eV/atom: 0.000
Crystal system: trigonal

abc: 5.839 5.839 5.839
angles: 59.23 59.23 59.23
Fractional positions:
Th: 0.131 0.131 0.131
Th: 0.869 0.869 0.869
Zr: 0.500 0.500 0.500
Al: 0.000 0.500 0.500
Al: 0.500 0.000 0.500
Al: 0.500 0.500 0.000

2.
Y2PuN: relaxed, GGA-PBE.

Computed properties:
Uncorrected formation energy, eV/atom: -0.58
E above lowest polymorph, eV/atom: 0.000
Crystal system: trigonal

abc: 9.685 9.685 9.685
angles: 20.37 20.37 20.37
Fractional positions:
Y: 0.119 0.119 0.119
Y: 0.881 0.881 0.881
Pu: 0.000 0.000 0.000
N: 0.500 0.500 0.500

3.
NaPdI2O: relaxed, GGA-PBE.

Computed properties:
Uncorrected formation energy, eV/atom: 0.49
E above lowest polymorph, eV/atom: 0.939
Crystal system: tetragonal

abc: 5.677 5.677 4.047
angles: 90.00 90.00 90.00
Fractional positions:
Na: 0.000 0.000 0.000
Pd: 0.500 0.500 0.500
I: 0.000 0.500 0.000
I: 0.500 0.000 0.000
O: 0.000 0.000 0.500

4.
BaGe2As2: relaxed, GGA-PBE.

Computed properties:
Crystal system: tetragonal

abc: 6.118 6.118 6.118
angles: 130.64 130.64 72.38
Fractional positions:
Ba: 0.000 0.000 0.000
Ge: 0.349 0.349 0.000
Ge: 0.651 0.651 0.000
As: 0.250 0.750 0.500
As: 0.750 0.250 0.500

5.
CuSnHg2: relaxed, GGA-PBE.

Computed properties:
Crystal system: trigonal

abc: 11.492 11.492 11.492
angles: 15.77 15.77 15.77
Fractional positions:
Cu: 0.000 0.000 0.000
Sn: 0.500 0.500 0.500
Hg: 0.077 0.077 0.077
Hg: 0.923 0.923 0.923

6.
Pm2ErTmTe5: relaxed, GGA-PBE.

Computed properties:
Uncorrected formation energy, eV/atom: -0.77
Crystal system: tetragonal

abc: 5.489 5.489 11.467
angles: 90.00 90.00 90.00
Fractional positions:
Pm: 0.000 0.000 0.162
Pm: 0.000 0.000 0.838
Er: 0.500 0.500 0.500
Tm: 0.500 0.500 0.000
Te: 0.000 0.000 0.500
Te: 0.000 0.500 0.000
Te: 0.500 0.000 0.000
Te: 0.500 0.500 0.254
Te: 0.500 0.500 0.746

7.
Fe2NiPt3: relaxed, GGA-PBE.

Computed properties:
E above lowest polymorph, eV/atom: 0.000
Crystal system: orthorhombic

abc: 6.111 6.111 3.715
angles: 90.00 90.00 142.97
Fractional positions:
Fe: 0.166 0.834 0.000
Fe: 0.834 0.166 0.000
Ni: 0.500 0.500 0.000
Pt: 0.000 0.000 0.500
Pt: 0.334 0.666 0.500
Pt: 0.666 0.334 0.500

8.
NaHgP3: relaxed, GGA-PBE.

Computed properties:
E above lowest polymorph, eV/atom: 0.390
Crystal system: cubic

abc: 4.899 4.899 4.899
angles: 90.00 90.00 90.00
Fractional positions:
Na: 0.000 0.000 0.000
Hg: 0.500 0.500 0.500
P: 0.000 0.000 0.500
P: 0.000 0.500 0.000
P: 0.500 0.000 0.000

9.
BeCuOs2: relaxed, GGA-PBE.

Computed properties:
Crystal system: cubic

abc: 4.164 4.164 4.164
angles: 60.00 60.00 60.00
Fractional positions:
Be: 0.000 0.000 0.000
Cu: 0.250 0.250 0.250
Os: 0.500 0.500 0.500
Os: 0.750 0.750 0.750

10.
Mn2CdBr: relaxed, GGA-PBE.

Computed properties:
Uncorrected formation energy, eV/atom: 0.30
E above lowest polymorph, eV/atom: 0.094
Crystal system: trigonal

abc: 8.645 8.645 8.645
angles: 21.87 21.87 21.87
Fractional positions:
Mn: 0.248 0.248 0.248
Mn: 0.752 0.752 0.752
Cd: 0.000 0.000 0.000
Br: 0.500 0.500 0.500

11.
CdNiRu2: relaxed, GGA-PBE.

Computed properties:
Crystal system: orthorhombic

abc: 5.124 5.124 5.124
angles: 145.98 127.93 63.66
Fractional positions:
Cd: 0.000 0.000 0.000
Ni: 0.753 0.253 0.500
Ru: 0.271 0.771 0.500
Ru: 0.518 0.518 0.000

12.
TcSb2Pb: relaxed, GGA-PBE.

Computed properties:
Uncorrected formation energy, eV/atom: 0.30
Crystal system: orthorhombic

abc: 6.970 6.970 6.970
angles: 152.82 140.24 48.83
Fractional positions:
Tc: 0.000 0.000 0.000
Sb: 0.180 0.680 0.500
Sb: 0.820 0.320 0.500
Pb: 0.500 0.500 0.000

Results for raw total energy: -0.4523, -0.6963, -0.1784, -0.3267, -0.1360, -0.3366, -0.5167, -0.1605, -0.5378, -0.3622, -0.4337, -0.3881 (in Ry per atom, following the order of the records).
Results for DOS(E_F): 0.875, 2.443, 2.418, 0.676, 0.285, 0.592, 0.853, 0.430, 0.513, 0.549, 1.258, 0.836 (in states/eV/atom, following the order of the records).